1.
Crystalline Rb2LiH3 at its relaxed geometry. Source: Alexandria via LeMat-Bulk, functional GGA-PBE.

Cell: 3.9235 8.0892 15.5118 Å, 90.00 90.00 90.00°
Fractional coordinates of all 24 atoms:
H1 0.7500 0.1698 0.2558
H2 0.2500 0.1546 0.5750
H3 0.2500 0.0361 0.1077
H4 0.2500 0.5361 0.3923
H5 0.7500 0.4639 0.6077
H6 0.2500 0.3302 0.7558
H7 0.7500 0.8454 0.4250
H8 0.2500 0.6546 0.9250
H9 0.7500 0.3454 0.0750
H10 0.2500 0.8302 0.7442
H11 0.7500 0.9639 0.8923
H12 0.7500 0.6698 0.2442
Rb1 0.2500 0.2586 0.9515
Rb2 0.7500 0.0836 0.7121
Rb3 0.2500 0.7586 0.5485
Rb4 0.7500 0.5836 0.7879
Rb5 0.7500 0.2414 0.4515
Rb6 0.2500 0.4164 0.2121
Rb7 0.2500 0.9164 0.2879
Rb8 0.7500 0.7414 0.0485
Li1 0.7500 0.6388 0.3668
Li2 0.2500 0.3612 0.6332
Li3 0.7500 0.1388 0.1332
Li4 0.2500 0.8612 0.8668

Energy relative to the lowest polymorph listed for this composition   22 meV per atom
E   -2.5251 eV/atom

---

2.
Crystalline ReNiAu2 at its relaxed geometry. Source: Alexandria via LeMat-Bulk, functional GGA-PBE.

Cell: 5.6258 5.6258 5.6258 Å, 151.85 130.66 57.77°
Fractional coordinates of all 4 atoms:
Re1 0.2799 0.7799 0.5000
Au1 0.7236 0.2236 0.5000
Au2 0.0117 0.0117 0.0000
Ni1 0.4849 0.4849 0.0000

Energy relative to the lowest polymorph listed for this composition   250 meV per atom
E   -5.7757 eV/atom
Energy relative to the elements   0.4204 eV per atom

---

3.
Crystalline Pu2Pa6Al at its relaxed geometry. Source: Alexandria via LeMat-Bulk, functional GGA-PBE.

Cell: 3.1400 8.8574 8.8574 Å, 120.00 90.00 90.00°
Last column: magnetic moment on the atom in μB.
Fractional coordinates of all 9 atoms:
Pa1 0.2608 0.6701 0.6701  -0.05
Pa2 0.2608 0.0000 0.3299  -0.05
Pa3 0.2608 0.3299 0.0000  -0.05
Pa4 0.7392 0.0000 0.6701  -0.05
Pa5 0.7392 0.6701 0.0000  -0.05
Pa6 0.7392 0.3299 0.3299  -0.05
Pu1 0.5000 0.6667 0.3333  5.04
Pu2 0.5000 0.3333 0.6667  5.04
Al1 0.0000 0.0000 0.0000  0.00

E   -9.8023 eV/atom
Energy relative to the elements   0.1290 eV per atom

---

4.
Crystalline Sc2PaOs3 at its relaxed geometry. Source: Alexandria via LeMat-Bulk, functional GGA-PBE.

Cell: 4.6904 4.6904 5.6925 Å, 90.00 90.00 120.00°
Fractional coordinates of all 6 atoms:
Os1 0.0000 0.0000 0.5000
Os2 0.6667 0.3333 0.8344
Os3 0.3333 0.6667 0.1656
Pa1 0.0000 0.0000 0.0000
Sc1 0.3333 0.6667 0.6548
Sc2 0.6667 0.3333 0.3452

E   -9.7643 eV/atom
Energy relative to the elements   -0.4563 eV per atom

---

> Which of these has the highest E?

Rb2LiH3

---

> Which of these has the lowest E?

Pu2Pa6Al